Record 1
Ac3IrCl: optimized geometry, PBE-GGA.

```
data_Ac3IrCl
_space_group_name_H-M_alt 'P 1'
_space_group_IT_number 1
_cell_length_a 4.135
_cell_length_b 10.372
_cell_length_c 8.156
_cell_angle_alpha 90.00
_cell_angle_beta 90.00
_cell_angle_gamma 90.00
loop_
_space_group_symop_operation_xyz
'x,y,z'
loop_
_atom_site_label
_atom_site_fract_x
_atom_site_fract_y
_atom_site_fract_z
Cl1 0.750 0.250 0.413
Cl2 0.250 0.750 0.587
Ac1 0.750 0.750 0.277
Ac2 0.250 0.073 0.172
Ac3 0.750 0.573 0.828
Ac4 0.250 0.427 0.172
Ac5 0.750 0.927 0.828
Ac6 0.250 0.250 0.723
Ir1 0.750 0.250 0.970
Ir2 0.250 0.750 0.030
```

Results
total energy = -5.44 eV per atom
magnetization = 0.000 μB/cell
raw formation energy = -4.14 eV/f.u.
symmetry = Pmmn (59)

***

Record 2
AuC2: optimized geometry, PBE-GGA.

```
data_AuC2
_space_group_name_H-M_alt 'P 1'
_space_group_IT_number 1
_cell_length_a 4.335
_cell_length_b 4.335
_cell_length_c 8.332
_cell_angle_alpha 88.98
_cell_angle_beta 88.98
_cell_angle_gamma 33.93
loop_
_space_group_symop_operation_xyz
'x,y,z'
loop_
_atom_site_label
_atom_site_fract_x
_atom_site_fract_y
_atom_site_fract_z
C1 0.562 0.562 0.657
C2 0.438 0.438 0.343
C3 0.967 0.967 0.418
C4 0.033 0.033 0.582
Au1 0.162 0.162 0.879
Au2 0.838 0.838 0.121
```

Results
ΔE to the lowest computed polymorph = 1.63 eV/f.u.
total energy = -6.43 eV per atom
magnetization = 0.004 μB/cell
ΔH_f (0 K) = 0.8106 eV/atom
symmetry = C2/m (12)

***

Record 3
Tl2ReCl: optimized geometry, PBE-GGA.

```
data_Tl2ReCl
_space_group_name_H-M_alt 'P 1'
_space_group_IT_number 1
_cell_length_a 3.336
_cell_length_b 3.336
_cell_length_c 7.961
_cell_angle_alpha 90.00
_cell_angle_beta 90.00
_cell_angle_gamma 90.00
loop_
_space_group_symop_operation_xyz
'x,y,z'
loop_
_atom_site_label
_atom_site_fract_x
_atom_site_fract_y
_atom_site_fract_z
Tl1 0.000 0.000 0.964
Tl2 0.000 0.000 0.536
Cl1 0.500 0.500 0.250
Re1 0.500 0.500 0.750
```

Results
ΔE to the lowest computed polymorph = 0.83 eV/f.u.
total energy = -4.07 eV per atom
magnetization = 0.042 μB/cell
raw formation energy = 2.75 eV/f.u.
symmetry = P4/mmm (123)

***

Short version: calculated volume = 349.8; 87.4; 88.6 Å³/cell, in the order given.